No. 1
Below is an optimized crystal structure of CaLa2I6, with properties calculated at the PBE level.

Results
- total moment (μB per atom) = 0.219
- E_form (uncorrected) (meV/atom) = -1467
- space-group type = No. 12

Lattice parameters (Å, degrees): 9.079 9.079 11.853 112.48 112.48 27.88
Element x y z (fractional)
Ca: 0.000 0.000 0.000
La: 0.317 0.317 0.640
La: 0.683 0.683 0.360
I: 0.031 0.031 0.282
I: 0.323 0.323 0.369
I: 0.362 0.362 0.942
I: 0.638 0.638 0.058
I: 0.677 0.677 0.631
I: 0.969 0.969 0.718

No. 2
Below is an optimized crystal structure of CaLaIN2, with properties calculated at the PBE level.

Results
- total moment (μB per atom) = 0.401
- E_form (uncorrected) (meV/atom) = 375
- energy relative to the lowest polymorph listed for this composition (meV per atom) = 394.4
- space-group type = No. 123

Lattice parameters (Å, degrees): 4.609 4.609 5.566 90.00 90.00 90.00
Element x y z (fractional)
Ca: 0.000 0.000 0.000
La: 0.500 0.500 0.500
I: 0.000 0.000 0.500
N: 0.000 0.500 0.000
N: 0.500 0.000 0.000

No. 3
Below is an optimized crystal structure of CaLa2I2N2, with properties calculated at the PBE level.

Results
- total moment (μB per atom) = 0.000
- E_form (uncorrected) (meV/atom) = -1209
- space-group type = No. 139

Lattice parameters (Å, degrees): 4.456 4.456 19.895 90.00 90.00 90.00
Element x y z (fractional)
Ca: 0.000 0.000 0.000
Ca: 0.500 0.500 0.500
La: 0.000 0.000 0.424
La: 0.000 0.000 0.576
La: 0.500 0.500 0.076
La: 0.500 0.500 0.924
I: 0.000 0.000 0.165
I: 0.000 0.000 0.835
I: 0.500 0.500 0.335
I: 0.500 0.500 0.665
N: 0.000 0.500 0.000
N: 0.000 0.500 0.500
N: 0.500 0.000 0.000
N: 0.500 0.000 0.500

No. 4
Below is an optimized crystal structure of CaLaIN2, with properties calculated at the PBE level.

Results
- total moment (μB per atom) = 0.068
- E_form (uncorrected) (meV/atom) = -19
- energy relative to the lowest polymorph listed for this composition (meV per atom) = 0.0
- space-group type = No. 123

Lattice parameters (Å, degrees): 4.515 4.515 6.246 90.00 90.00 90.00
Element x y z (fractional)
Ca: 0.000 0.000 0.000
La: 0.500 0.500 0.500
I: 0.500 0.500 0.000
N: 0.000 0.500 0.500
N: 0.500 0.000 0.500